1.
# PBE LiNd6Zn, optimized geometry
# Crystal system: tetragonal
# Total magnetic moment, μB per cell: 0.0
# ΔE_f, eV/atom: -0.05
# Theoretical density, Mg/m³: 6.36
data_LiNd6Zn
_chemical_formula_sum 'Li2 Nd12 Zn2'
_cell_length_a 5.228
_cell_length_b 5.228
_cell_length_c 17.919
_cell_angle_alpha 90.00
_cell_angle_beta 90.00
_cell_angle_gamma 90.00
_space_group_name_H-M_alt 'I 4/m m m'
_space_group_IT_number 139
_space_group_name_Hall '-I 4 2'
loop_
_atom_site_label
_atom_site_fract_x
_atom_site_fract_y
_atom_site_fract_z
Li1 0.000 0.000 0.000
Nd1 0.000 0.000 0.249
Nd2 0.000 0.500 0.106
Zn1 0.000 0.000 0.500

=====

2.
# PBE Li2NdZn, optimized geometry
# Crystal system: tetragonal
# Total magnetic moment, μB per cell: 0.0
# Distance to the lowest polymorph of the same formula, meV/atom: 21
# ΔE_f, eV/atom: 0.01
# Theoretical density, Mg/m³: 4.37
data_Li2NdZn
_chemical_formula_sum 'Li2 Nd1 Zn1'
_cell_length_a 3.437
_cell_length_b 3.437
_cell_length_c 7.193
_cell_angle_alpha 90.00
_cell_angle_beta 90.00
_cell_angle_gamma 90.00
_space_group_name_H-M_alt 'P 4/m m m'
_space_group_IT_number 123
_space_group_name_Hall '-P 4 2'
loop_
_atom_site_label
_atom_site_fract_x
_atom_site_fract_y
_atom_site_fract_z
Li1 0.000 0.000 0.183
Nd1 0.500 0.500 0.500
Zn1 0.500 0.500 0.000

=====

3.
# PBE Li3Nd2Zn4, optimized geometry
# Crystal system: orthorhombic
# Total magnetic moment, μB per cell: 0.0
# ΔE_f, eV/atom: -0.17
# Theoretical density, Mg/m³: 5.21
data_Li3Nd2Zn4
_chemical_formula_sum 'Li12 Nd8 Zn16'
_cell_length_a 5.870
_cell_length_b 15.560
_cell_length_c 7.963
_cell_angle_alpha 90.00
_cell_angle_beta 90.00
_cell_angle_gamma 90.00
_space_group_name_H-M_alt 'C m c e'
_space_group_IT_number 64
_space_group_name_Hall '-C 2ac 2'
loop_
_atom_site_label
_atom_site_fract_x
_atom_site_fract_y
_atom_site_fract_z
Li1 0.000 0.000 0.000
Li2 0.250 0.220 0.250
Nd1 0.000 0.115 0.582
Zn1 0.000 0.178 0.976
Zn2 0.250 0.052 0.250

=====

4.
# PBE LiNdZrZn, optimized geometry
# Crystal system: cubic
# Total magnetic moment, μB per cell: 0.0
# ΔE_f, eV/atom: 0.02
# Theoretical density, Mg/m³: 5.82
data_LiNdZrZn
_chemical_formula_sum 'Li4 Nd4 Zr4 Zn4'
_cell_length_a 7.057
_cell_length_b 7.057
_cell_length_c 7.057
_cell_angle_alpha 90.00
_cell_angle_beta 90.00
_cell_angle_gamma 90.00
_space_group_name_H-M_alt 'F -4 3 m'
_space_group_IT_number 216
_space_group_name_Hall 'F -4 2 3'
loop_
_atom_site_label
_atom_site_fract_x
_atom_site_fract_y
_atom_site_fract_z
Li1 0.000 0.000 0.000
Nd1 0.250 0.250 0.250
Zr1 0.250 0.250 0.750
Zn1 0.000 0.000 0.500

=====

5.
# PBE LiNi4, optimized geometry
# Crystal system: cubic
# Total magnetic moment, μB per cell: 2.0
# Distance to the lowest polymorph of the same formula, meV/atom: 819
# ΔE_f, eV/atom: 0.84
# Theoretical density, Mg/m³: 6.98
data_LiNi4
_chemical_formula_sum 'Li1 Ni4'
_cell_length_a 3.860
_cell_length_b 3.860
_cell_length_c 3.860
_cell_angle_alpha 90.00
_cell_angle_beta 90.00
_cell_angle_gamma 90.00
_space_group_name_H-M_alt 'P m -3 m'
_space_group_IT_number 221
_space_group_name_Hall '-P 4 2 3'
loop_
_atom_site_label
_atom_site_fract_x
_atom_site_fract_y
_atom_site_fract_z
Li1 0.000 0.000 0.000
Ni1 0.000 0.000 0.500
Ni2 0.500 0.500 0.500

=====

6.
# PBE Li4Ni, optimized geometry
# Crystal system: tetragonal
# Total magnetic moment, μB per cell: 0.0
# Distance to the lowest polymorph of the same formula, meV/atom: 295
# ΔE_f, eV/atom: 0.34
# Theoretical density, Mg/m³: 1.90
data_Li4Ni
_chemical_formula_sum 'Li8 Ni2'
_cell_length_a 3.481
_cell_length_b 3.481
_cell_length_c 12.458
_cell_angle_alpha 90.00
_cell_angle_beta 90.00
_cell_angle_gamma 90.00
_space_group_name_H-M_alt 'I 4/m m m'
_space_group_IT_number 139
_space_group_name_Hall '-I 4 2'
loop_
_atom_site_label
_atom_site_fract_x
_atom_site_fract_y
_atom_site_fract_z
Li1 0.000 0.000 0.088
Li2 0.000 0.500 0.250
Ni1 0.000 0.000 0.500

=====

7.
# PBE LiNi, optimized geometry
# Crystal system: cubic
# Total magnetic moment, μB per cell: 8.1
# ΔE_f, eV/atom: 0.78
# Theoretical density, Mg/m³: 1.91
data_LiNi
_chemical_formula_sum 'Li8 Ni8'
_cell_length_a 7.695
_cell_length_b 7.695
_cell_length_c 7.695
_cell_angle_alpha 90.00
_cell_angle_beta 90.00
_cell_angle_gamma 90.00
_space_group_name_H-M_alt 'I -4 3 m'
_space_group_IT_number 217
_space_group_name_Hall 'I -4 2 3'
loop_
_atom_site_label
_atom_site_fract_x
_atom_site_fract_y
_atom_site_fract_z
Li1 0.202 0.202 0.202
Ni1 0.106 0.106 0.894

=====

8.
# PBE LiNi2, optimized geometry
# Crystal system: tetragonal
# Total magnetic moment, μB per cell: 3.2
# ΔE_f, eV/atom: 0.23
# Theoretical density, Mg/m³: 6.38
data_LiNi2
_chemical_formula_sum 'Li4 Ni8'
_cell_length_a 5.665
_cell_length_b 5.665
_cell_length_c 4.031
_cell_angle_alpha 90.00
_cell_angle_beta 90.00
_cell_angle_gamma 90.00
_space_group_name_H-M_alt 'I 4/m c m'
_space_group_IT_number 140
_space_group_name_Hall '-I 4 2c'
loop_
_atom_site_label
_atom_site_fract_x
_atom_site_fract_y
_atom_site_fract_z
Li1 0.000 0.000 0.250
Ni1 0.145 0.355 0.000

=====

9.
# PBE LiNi2, optimized geometry
# Crystal system: cubic
# Total magnetic moment, μB per cell: 3.4
# ΔE_f, eV/atom: 0.62
# Theoretical density, Mg/m³: 5.68
data_LiNi2
_chemical_formula_sum 'Li4 Ni8'
_cell_length_a 5.259
_cell_length_b 5.259
_cell_length_c 5.259
_cell_angle_alpha 90.00
_cell_angle_beta 90.00
_cell_angle_gamma 90.00
_space_group_name_H-M_alt 'F m -3 m'
_space_group_IT_number 225
_space_group_name_Hall '-F 4 2 3'
loop_
_atom_site_label
_atom_site_fract_x
_atom_site_fract_y
_atom_site_fract_z
Li1 0.000 0.000 0.000
Ni1 0.250 0.250 0.250

=====

10.
# PBE Li5Ni, optimized geometry
# Crystal system: tetragonal
# Total magnetic moment, μB per cell: 0.0
# ΔE_f, eV/atom: 0.05
# Theoretical density, Mg/m³: 1.60
data_Li5Ni
_chemical_formula_sum 'Li5 Ni1'
_cell_length_a 2.910
_cell_length_b 2.910
_cell_length_c 11.470
_cell_angle_alpha 90.00
_cell_angle_beta 90.00
_cell_angle_gamma 90.00
_space_group_name_H-M_alt 'P 4/m m m'
_space_group_IT_number 123
_space_group_name_Hall '-P 4 2'
loop_
_atom_site_label
_atom_site_fract_x
_atom_site_fract_y
_atom_site_fract_z
Li1 0.000 0.000 0.000
Li2 0.000 0.000 0.376
Li3 0.500 0.500 0.195
Ni1 0.500 0.500 0.500

=====

11.
# PBE LiNi2, optimized geometry
# Crystal system: orthorhombic
# Total magnetic moment, μB per cell: 3.4
# ΔE_f, eV/atom: 0.19
# Theoretical density, Mg/m³: 5.42
data_LiNi2
_chemical_formula_sum 'Li4 Ni8'
_cell_length_a 2.433
_cell_length_b 4.190
_cell_length_c 14.944
_cell_angle_alpha 90.00
_cell_angle_beta 90.00
_cell_angle_gamma 90.00
_space_group_name_H-M_alt 'I m m a'
_space_group_IT_number 74
_space_group_name_Hall '-I 2b 2'
loop_
_atom_site_label
_atom_site_fract_x
_atom_site_fract_y
_atom_site_fract_z
Li1 0.000 0.250 0.132
Ni1 0.000 0.250 0.533
Ni2 0.000 0.250 0.685

=====

12.
# PBE LiNi, optimized geometry
# Crystal system: tetragonal
# Total magnetic moment, μB per cell: 0.0
# ΔE_f, eV/atom: 0.47
# Theoretical density, Mg/m³: 4.42
data_LiNi
_chemical_formula_sum 'Li4 Ni4'
_cell_length_a 4.634
_cell_length_b 4.634
_cell_length_c 4.593
_cell_angle_alpha 90.00
_cell_angle_beta 90.00
_cell_angle_gamma 90.00
_space_group_name_H-M_alt 'P 42/m n m'
_space_group_IT_number 136
_space_group_name_Hall '-P 4n 2n'
loop_
_atom_site_label
_atom_site_fract_x
_atom_site_fract_y
_atom_site_fract_z
Li1 0.189 0.189 0.000
Ni1 0.183 0.183 0.500

=====

13.
# PBE LiNi8, optimized geometry
# Crystal system: tetragonal
# Total magnetic moment, μB per cell: 8.1
# Distance to the lowest polymorph of the same formula, meV/atom: 65
# ΔE_f, eV/atom: 0.08
# Theoretical density, Mg/m³: 8.01
data_LiNi8
_chemical_formula_sum 'Li2 Ni16'
_cell_length_a 8.800
_cell_length_b 8.800
_cell_length_c 2.551
_cell_angle_alpha 90.00
_cell_angle_beta 90.00
_cell_angle_gamma 90.00
_space_group_name_H-M_alt 'I 4/m m m'
_space_group_IT_number 139
_space_group_name_Hall '-I 4 2'
loop_
_atom_site_label
_atom_site_fract_x
_atom_site_fract_y
_atom_site_fract_z
Li1 0.000 0.000 0.000
Ni1 0.000 0.332 0.000
Ni2 0.167 0.167 0.500

=====

14.
# PBE Li15Ni, optimized geometry
# Crystal system: hexagonal
# Total magnetic moment, μB per cell: 0.0
# ΔE_f, eV/atom: 0.05
# Theoretical density, Mg/m³: 0.93
data_Li15Ni
_chemical_formula_sum 'Li15 Ni1'
_cell_length_a 5.9402
_cell_length_b 5.9402
_cell_length_c 9.4980
_cell_angle_alpha 90.00
_cell_angle_beta 90.00
_cell_angle_gamma 120.00
_space_group_name_H-M_alt 'P -6 m 2'
_space_group_IT_number 187
_space_group_name_Hall 'P -6 2'
loop_
_atom_site_label
_atom_site_fract_x
_atom_site_fract_y
_atom_site_fract_z
Li1 0.0000 0.0000 0.0000
Li2 0.0078 0.5039 0.5000
Li3 0.3174 0.1587 0.2697
Li4 0.3333 0.6667 0.2409
Li5 0.5041 0.0081 0.0000
Ni1 0.0000 0.0000 0.5000

=====

15.
# PBE LiNi, optimized geometry
# Crystal system: trigonal
# Total magnetic moment, μB per cell: 2.2
# ΔE_f, eV/atom: 0.05
# Theoretical density, Mg/m³: 4.43
data_LiNi
_chemical_formula_sum 'Li6 Ni6'
_cell_length_a 2.5421
_cell_length_b 2.5421
_cell_length_c 26.3844
_cell_angle_alpha 90.00
_cell_angle_beta 90.00
_cell_angle_gamma 120.00
_space_group_name_H-M_alt 'R -3 m'
_space_group_IT_number 166
_space_group_name_Hall '-R 3 2"'
loop_
_atom_site_label
_atom_site_fract_x
_atom_site_fract_y
_atom_site_fract_z
Li1 0.0000 0.0000 0.1171
Ni1 0.0000 0.0000 0.3714

=====

16.
# PBE LiNi2, optimized geometry
# Crystal system: tetragonal
# Total magnetic moment, μB per cell: 1.0
# ΔE_f, eV/atom: 0.39
# Theoretical density, Mg/m³: 4.66
data_LiNi2
_chemical_formula_sum 'Li1 Ni2'
_cell_length_a 3.223
_cell_length_b 3.223
_cell_length_c 4.265
_cell_angle_alpha 90.00
_cell_angle_beta 90.00
_cell_angle_gamma 90.00
_space_group_name_H-M_alt 'P 4/m m m'
_space_group_IT_number 123
_space_group_name_Hall '-P 4 2'
loop_
_atom_site_label
_atom_site_fract_x
_atom_site_fract_y
_atom_site_fract_z
Li1 0.000 0.000 0.000
Ni1 0.000 0.500 0.500

=====

17.
# PBE Li4Ni, optimized geometry
# Crystal system: cubic
# Total magnetic moment, μB per cell: 0.0
# Distance to the lowest polymorph of the same formula, meV/atom: 167
# ΔE_f, eV/atom: 0.21
# Theoretical density, Mg/m³: 1.53
data_Li4Ni
_chemical_formula_sum 'Li8 Ni2'
_cell_length_a 5.719
_cell_length_b 5.719
_cell_length_c 5.719
_cell_angle_alpha 90.00
_cell_angle_beta 90.00
_cell_angle_gamma 90.00
_space_group_name_H-M_alt 'I m -3 m'
_space_group_IT_number 229
_space_group_name_Hall '-I 4 2 3'
loop_
_atom_site_label
_atom_site_fract_x
_atom_site_fract_y
_atom_site_fract_z
Li1 0.250 0.250 0.250
Ni1 0.000 0.000 0.000

=====

18.
# PBE Li17Ni12, optimized geometry
# Crystal system: cubic
# Total magnetic moment, μB per cell: 3.9
# ΔE_f, eV/atom: 0.01
# Theoretical density, Mg/m³: 3.61
data_Li17Ni12
_chemical_formula_sum 'Li34 Ni24'
_cell_length_a 9.116
_cell_length_b 9.116
_cell_length_c 9.116
_cell_angle_alpha 90.00
_cell_angle_beta 90.00
_cell_angle_gamma 90.00
_space_group_name_H-M_alt 'I -4 3 m'
_space_group_IT_number 217
_space_group_name_Hall 'I -4 2 3'
loop_
_atom_site_label
_atom_site_fract_x
_atom_site_fract_y
_atom_site_fract_z
Li1 0.000 0.000 0.000
Li2 0.046 0.360 0.640
Li3 0.178 0.178 0.178
Ni1 0.089 0.089 0.730

=====

19.
# PBE LiNi4, optimized geometry
# Crystal system: monoclinic
# Total magnetic moment, μB per cell: 8.4
# Distance to the lowest polymorph of the same formula, meV/atom: 168
# ΔE_f, eV/atom: 0.19
# Theoretical density, Mg/m³: 6.76
data_LiNi4
_chemical_formula_sum 'Li4 Ni16'
_cell_length_a 4.814
_cell_length_b 12.525
_cell_length_c 4.498
_cell_angle_alpha 90.00
_cell_angle_beta 118.91
_cell_angle_gamma 90.00
_space_group_name_H-M_alt 'C 1 2/c 1'
_space_group_IT_number 15
loop_
_space_group_symop_operation_xyz
'x,y,z'
'-x,-y,-z'
'-x,y,-z+1/2'
'x,-y,z+1/2'
'x+1/2,y+1/2,z'
'-x+1/2,-y+1/2,-z'
'-x+1/2,y+1/2,-z+1/2'
'x+1/2,-y+1/2,z+1/2'
loop_
_atom_site_label
_atom_site_fract_x
_atom_site_fract_y
_atom_site_fract_z
Li1 0.000 0.065 0.250
Ni1 0.123 0.414 0.062
Ni2 0.245 0.270 0.747

=====

20.
# PBE Li5Ni3, optimized geometry
# Crystal system: hexagonal
# Total magnetic moment, μB per cell: 0.0
# ΔE_f, eV/atom: 0.14
# Theoretical density, Mg/m³: 3.27
data_Li5Ni3
_chemical_formula_sum 'Li10 Ni6'
_cell_length_a 7.4038
_cell_length_b 7.4038
_cell_length_c 4.5060
_cell_angle_alpha 90.00
_cell_angle_beta 90.00
_cell_angle_gamma 120.00
_space_group_name_H-M_alt 'P 63/m c m'
_space_group_IT_number 193
_space_group_name_Hall '-P 6c 2'
loop_
_atom_site_label
_atom_site_fract_x
_atom_site_fract_y
_atom_site_fract_z
Li1 0.0000 0.2395 0.2500
Li2 0.3333 0.6667 0.0000
Ni1 0.0000 0.4302 0.7500

=====

21.
# PBE Li4Ni5, optimized geometry
# Crystal system: tetragonal
# Total magnetic moment, μB per cell: 0.5
# ΔE_f, eV/atom: 0.05
# Theoretical density, Mg/m³: 5.15
data_Li4Ni5
_chemical_formula_sum 'Li8 Ni10'
_cell_length_a 7.843
_cell_length_b 7.843
_cell_length_c 3.369
_cell_angle_alpha 90.00
_cell_angle_beta 90.00
_cell_angle_gamma 90.00
_space_group_name_H-M_alt 'I 4/m m m'
_space_group_IT_number 139
_space_group_name_Hall '-I 4 2'
loop_
_atom_site_label
_atom_site_fract_x
_atom_site_fract_y
_atom_site_fract_z
Li1 0.000 0.317 0.000
Ni1 0.000 0.000 0.000
Ni2 0.165 0.165 0.500

=====

22.
# PBE Li4Ni, optimized geometry
# Crystal system: tetragonal
# Total magnetic moment, μB per cell: 0.3
# Distance to the lowest polymorph of the same formula, meV/atom: 0
# ΔE_f, eV/atom: 0.05
# Theoretical density, Mg/m³: 1.72
data_Li4Ni
_chemical_formula_sum 'Li8 Ni2'
_cell_length_a 5.821
_cell_length_b 5.821
_cell_length_c 4.919
_cell_angle_alpha 90.00
_cell_angle_beta 90.00
_cell_angle_gamma 90.00
_space_group_name_H-M_alt 'P 4/m c c'
_space_group_IT_number 124
_space_group_name_Hall '-P 4 2c'
loop_
_atom_site_label
_atom_site_fract_x
_atom_site_fract_y
_atom_site_fract_z
Li1 0.162 0.324 0.000
Ni1 0.500 0.500 0.250

=====

23.
# PBE LiNi2, optimized geometry
# Crystal system: orthorhombic
# Total magnetic moment, μB per cell: 1.9
# ΔE_f, eV/atom: 0.04
# Theoretical density, Mg/m³: 6.18
data_LiNi2
_chemical_formula_sum 'Li2 Ni4'
_cell_length_a 2.448
_cell_length_b 3.692
_cell_length_c 7.387
_cell_angle_alpha 90.00
_cell_angle_beta 90.00
_cell_angle_gamma 90.00
_space_group_name_H-M_alt 'I m m m'
_space_group_IT_number 71
_space_group_name_Hall '-I 2 2'
loop_
_atom_site_label
_atom_site_fract_x
_atom_site_fract_y
_atom_site_fract_z
Li1 0.000 0.000 0.000
Ni1 0.000 0.000 0.328

=====

24.
# PBE LiNi, optimized geometry
# Crystal system: tetragonal
# Total magnetic moment, μB per cell: 0.7
# ΔE_f, eV/atom: 0.03
# Theoretical density, Mg/m³: 4.24
data_LiNi
_chemical_formula_sum 'Li2 Ni2'
_cell_length_a 2.547
_cell_length_b 2.547
_cell_length_c 7.929
_cell_angle_alpha 90.00
_cell_angle_beta 90.00
_cell_angle_gamma 90.00
_space_group_name_H-M_alt 'P 4/n m m'
_space_group_IT_number 129
loop_
_space_group_symop_operation_xyz
'x,y,z'
'-x,-y,-z'
'-y+1/2,x,z'
'y+1/2,-x,-z'
'-x+1/2,-y+1/2,z'
'x+1/2,y+1/2,-z'
'y,-x+1/2,z'
'-y,x+1/2,-z'
'x+1/2,-y,-z'
'-x+1/2,y,z'
'-y,-x,-z'
'y,x,z'
'-x,y+1/2,-z'
'x,-y+1/2,z'
'y+1/2,x+1/2,-z'
'-y+1/2,-x+1/2,z'
loop_
_atom_site_label
_atom_site_fract_x
_atom_site_fract_y
_atom_site_fract_z
Li1 0.250 0.250 0.163
Ni1 0.250 0.250 0.603